# 1
Ac2Pr3NdY6 | PBE | relaxed

Unit cell a=6.4162 b=6.4162 c=12.0175 alpha=95.10 beta=95.10 gamma=119.99
Positions (direct):
1 Ac 0.3334 0.6666 0.0000
2 Ac 0.6666 0.3334 0.0000
3 Pr 0.1666 0.8334 0.5000
4 Pr 0.8334 0.1666 0.5000
5 Pr 0.5000 0.5000 0.5000
6 Nd 0.0000 0.0000 0.0000
7 Y 0.9158 0.5846 0.7464
8 Y 0.7531 0.7531 0.2537
9 Y 0.0842 0.4154 0.2536
10 Y 0.5846 0.9158 0.7464
11 Y 0.2469 0.2469 0.7463
12 Y 0.4154 0.0842 0.2536

Results
- Energy of formation from the pure elements: 0.022 eV per atom
- Space-group type: C2/m, No. 12
- Size of the total moment: 0.00 μB/atom

---

# 2
TiTlRuO6 | PBE | relaxed

Unit cell a=5.1782 b=5.1782 c=4.8282 alpha=90.00 beta=90.00 gamma=60.00
Positions (direct):
1 Ti 0.6666 0.6667 0.5000
2 Tl 0.0000 0.0000 0.0000
3 Ru 0.3333 0.3333 0.5000
4 O 0.0002 0.3645 0.2774
5 O 0.3645 0.0002 0.7225
6 O 0.6353 0.3645 0.7225
7 O 0.0002 0.6353 0.7225
8 O 0.3645 0.6353 0.2774
9 O 0.6353 0.0002 0.2774

Results
- Space-group type: P312, No. 149
- Size of the total moment: 0.31 μB/atom

---

# 3
Pm3AlSn | PBE | relaxed

Unit cell a=4.5434 b=7.2008 c=9.6782 alpha=90.00 beta=90.00 gamma=90.00
Positions (direct):
1 Pm 0.7500 0.7500 0.0789
2 Pm 0.2500 0.2500 0.9211
3 Pm 0.7500 0.9776 0.6750
4 Pm 0.7500 0.5224 0.6750
5 Pm 0.2500 0.0224 0.3250
6 Pm 0.2500 0.4776 0.3250
7 Al 0.7500 0.7500 0.3950
8 Al 0.2500 0.2500 0.6050
9 Sn 0.7500 0.2500 0.1449
10 Sn 0.2500 0.7500 0.8551

Results
- Energy of formation from the pure elements: -0.320 eV per atom
- Space-group type: Pmmn, No. 59
- Size of the total moment: 0.00 μB/atom

---

Calculated total energy, -5.49; -6.96; -4.72 eV/atom (same order as the records).
Calculated Fermi-level density of states, 13.2; 3.7; 11.3 states/eV/cell (same order as the records).